1.
Computed, not measured: a crystal of CaZrIr relaxed with PBEsol at the SCAN level of DFT.

Geometry as extended XYZ:
```
12
Lattice="6.3407 0.0000 0.0000 0.0000 6.3407 0.0000 0.0000 0.0000 6.3407" Properties=species:S:1:pos:R:3 pbc="T T T"
Ca 0.0000 0.0000 0.0000
Ca 0.0000 3.1704 3.1704
Ca 3.1704 0.0000 3.1704
Ca 3.1704 3.1704 0.0000
Zr 1.5852 1.5852 4.7555
Zr 1.5852 4.7555 1.5852
Zr 4.7555 1.5852 1.5852
Zr 4.7555 4.7555 4.7555
Ir 1.5852 1.5852 1.5852
Ir 1.5852 4.7555 4.7555
Ir 4.7555 1.5852 4.7555
Ir 4.7555 4.7555 1.5852
```

* DFT total energy: -36.349 eV per atom
* formation energy from the elements: 0.804 eV per atom

---

2.
Computed, not measured: a crystal of CaZr2Ir relaxed with PBEsol at the SCAN level of DFT.

Geometry as extended XYZ:
```
16
Lattice="6.8472 0.0000 0.0000 0.0000 6.8472 0.0000 0.0000 0.0000 6.8472" Properties=species:S:1:pos:R:3 pbc="T T T"
Ca 0.0000 0.0000 0.0000
Ca 0.0000 3.4236 3.4236
Ca 3.4236 0.0000 3.4236
Ca 3.4236 3.4236 0.0000
Zr 0.0000 0.0000 3.4236
Zr 0.0000 3.4236 0.0000
Zr 1.7118 1.7118 1.7118
Zr 1.7118 5.1354 5.1354
Zr 3.4236 0.0000 0.0000
Zr 3.4236 3.4236 3.4236
Zr 5.1354 1.7118 5.1354
Zr 5.1354 5.1354 1.7118
Ir 1.7118 1.7118 5.1354
Ir 1.7118 5.1354 1.7118
Ir 5.1354 1.7118 1.7118
Ir 5.1354 5.1354 5.1354
```

* DFT total energy: -35.575 eV per atom
* formation energy from the elements: -0.035 eV per atom

---

3.
Computed, not measured: a crystal of CaZr2Ir2 relaxed with PBEsol at the SCAN level of DFT.

Geometry as extended XYZ:
```
10
Lattice="4.4661 0.0000 0.0000 0.0000 4.4661 0.0000 0.0000 0.0000 10.9553" Properties=species:S:1:pos:R:3 pbc="T T T"
Ca 0.0000 0.0000 0.0000
Ca 2.2331 2.2331 5.4776
Zr 0.0000 2.2331 2.7388
Zr 0.0000 2.2331 8.2165
Zr 2.2331 0.0000 2.7388
Zr 2.2331 0.0000 8.2165
Ir 0.0000 0.0000 4.2034
Ir 0.0000 0.0000 6.7519
Ir 2.2331 2.2331 1.2742
Ir 2.2331 2.2331 9.6811
```

* DFT total energy: -43.532 eV per atom
* formation energy from the elements: -0.881 eV per atom

---

4.
Computed, not measured: a crystal of CaZrIr4 relaxed with PBEsol at the SCAN level of DFT.

Geometry as extended XYZ:
```
6
Lattice="0.0000 3.7010 3.7010 3.7010 0.0000 3.7010 3.7010 3.7010 0.0000" Properties=species:S:1:pos:R:3 pbc="T T T"
Ca 0.0000 0.0000 0.0000
Zr 1.8505 1.8505 1.8505
Ir 4.6269 2.7751 2.7751
Ir 2.7751 4.6269 2.7751
Ir 2.7751 2.7751 4.6269
Ir 4.6269 4.6269 4.6269
```

* DFT total energy: -54.863 eV per atom
* formation energy from the elements: -0.737 eV per atom

---

5.
Computed, not measured: a crystal of CaZrIr relaxed with PBEsol at the SCAN level of DFT.

Geometry as extended XYZ:
```
6
Lattice="3.3550 0.0000 0.0000 0.0000 3.3550 0.0000 0.0000 0.0000 12.3388" Properties=species:S:1:pos:R:3 pbc="T T T"
Ca 0.0000 0.0000 0.0000
Ca 1.6775 1.6775 6.1694
Zr 0.0000 0.0000 9.0894
Zr 1.6775 1.6775 2.9200
Ir 0.0000 0.0000 4.1547
Ir 1.6775 1.6775 10.3242
```

* DFT total energy: -37.649 eV per atom
* formation energy from the elements: -0.496 eV per atom

---

6.
Computed, not measured: a crystal of KCa5 relaxed with PBEsol at the SCAN level of DFT.

Geometry as extended XYZ:
```
12
Lattice="5.5602 0.0000 0.0000 0.0000 16.8752 0.0000 0.0000 0.0000 5.5535" Properties=species:S:1:pos:R:3 pbc="T T T"
K 0.0000 0.0000 0.0000
K 2.7801 8.4376 0.0000
Ca 0.0000 2.9112 2.7768
Ca 0.0000 5.5555 0.0000
Ca 0.0000 8.4376 2.7768
Ca 0.0000 11.3198 0.0000
Ca 0.0000 13.9640 2.7768
Ca 2.7801 0.0000 2.7768
Ca 2.7801 2.8822 0.0000
Ca 2.7801 5.5264 2.7768
Ca 2.7801 11.3488 2.7768
Ca 2.7801 13.9931 0.0000
```

* DFT total energy: -9.324 eV per atom
* formation energy from the elements: 0.117 eV per atom

---

7.
Computed, not measured: a crystal of KCa5 relaxed with PBEsol at the SCAN level of DFT.

Geometry as extended XYZ:
```
12
Lattice="6.4741 0.0000 0.0000 0.0000 3.8839 0.0000 0.0000 0.0000 20.7738" Properties=species:S:1:pos:R:3 pbc="T T T"
K 0.0000 0.0000 0.0000
K 0.0000 1.9420 10.3869
Ca 0.0000 0.0000 6.8292
Ca 0.0000 0.0000 13.9796
Ca 0.0000 1.9420 3.5927
Ca 0.0000 1.9420 17.2161
Ca 3.2370 0.0000 4.6952
Ca 3.2370 0.0000 11.7295
Ca 3.2370 0.0000 18.4375
Ca 3.2370 1.9420 1.3426
Ca 3.2370 1.9420 8.0506
Ca 3.2370 1.9420 15.0821
```

* DFT total energy: -9.350 eV per atom
* formation energy from the elements: 0.091 eV per atom

---

8.
Computed, not measured: a crystal of KCa5 relaxed with PBEsol at the SCAN level of DFT.

Geometry as extended XYZ:
```
12
Lattice="14.6832 0.0000 0.0000 0.0000 3.8888 0.0000 -2.4871 0.0000 9.1539" Properties=species:S:1:pos:R:3 pbc="T T T"
K 0.0000 0.0000 0.0000
K 7.3416 1.9444 0.0000
Ca -0.0791 1.9444 6.4990
Ca 1.6770 1.9444 3.1566
Ca 3.8655 0.0000 0.5217
Ca 3.2211 0.0000 6.0367
Ca 5.5339 1.9444 3.5974
Ca 7.2625 0.0000 6.4990
Ca 9.0186 0.0000 3.1566
Ca 11.2071 1.9444 0.5217
Ca 10.5627 1.9444 6.0367
Ca 12.8755 0.0000 3.5974
```

* DFT total energy: -9.346 eV per atom
* formation energy from the elements: 0.095 eV per atom

---

9.
Computed, not measured: a crystal of KCa7 relaxed with PBEsol at the SCAN level of DFT.

Geometry as extended XYZ:
```
8
Lattice="0.0000 5.5352 5.5352 5.5352 0.0000 5.5352 5.5352 5.5352 0.0000" Properties=species:S:1:pos:R:3 pbc="T T T"
K 0.0000 0.0000 0.0000
Ca 2.7676 2.7676 0.0000
Ca 2.7676 0.0000 2.7676
Ca 5.5352 2.7676 2.7676
Ca 0.0000 2.7676 2.7676
Ca 2.7676 5.5352 2.7676
Ca 2.7676 2.7676 5.5352
Ca 5.5352 5.5352 5.5352
```

* DFT total energy: -9.407 eV per atom
* formation energy from the elements: 0.089 eV per atom

---

10.
Computed, not measured: a crystal of K3Ca relaxed with PBEsol at the SCAN level of DFT.

Geometry as extended XYZ:
```
12
Lattice="14.0291 0.0000 0.0000 -7.0145 12.1495 0.0000 0.0000 0.0000 4.1428" Properties=species:S:1:pos:R:3 pbc="T T T"
K -3.5073 6.0748 0.0000
K 0.0000 4.0498 1.3809
K -3.5073 10.1246 1.3809
K 3.5073 2.0249 2.7619
K 7.0145 0.0000 0.0000
K 3.5073 6.0748 0.0000
K 3.5073 10.1246 1.3809
K 10.5218 2.0249 2.7619
K 7.0145 8.0997 2.7619
Ca 0.0000 0.0000 0.0000
Ca 0.0000 8.0997 2.7619
Ca 7.0145 4.0498 1.3809
```

* DFT total energy: -8.529 eV per atom
* formation energy from the elements: 0.133 eV per atom

---

11.
Computed, not measured: a crystal of KCa3La relaxed with PBEsol at the SCAN level of DFT.

Geometry as extended XYZ:
```
5
Lattice="5.9723 0.0000 0.0000 0.0000 5.9723 0.0000 0.0000 0.0000 5.9723" Properties=species:S:1:pos:R:3 pbc="T T T"
K 0.0000 0.0000 0.0000
Ca 0.0000 0.0000 2.9861
Ca 0.0000 2.9861 0.0000
Ca 2.9861 0.0000 0.0000
La 2.9861 2.9861 2.9861
```

* DFT total energy: -15.354 eV per atom
* formation energy from the elements: 0.731 eV per atom

---

12.
Computed, not measured: a crystal of KCaLa2 relaxed with PBEsol at the SCAN level of DFT.

Geometry as extended XYZ:
```
4
Lattice="3.5758 0.0000 0.0000 0.0000 3.5758 0.0000 0.0000 0.0000 12.7661" Properties=species:S:1:pos:R:3 pbc="T T T"
K 0.0000 0.0000 0.0000
Ca 0.0000 0.0000 6.3830
La 1.7879 1.7879 3.5013
La 1.7879 1.7879 9.2647
```

* DFT total energy: -25.768 eV per atom
* formation energy from the elements: 0.282 eV per atom

---

- Which value of formation energy from the elements does entry 7 give?
  0.091 eV per atom

---

What did the fourth record say?
Computed, not measured: a crystal of CaZrIr4 relaxed with PBEsol at the SCAN level of DFT.

Geometry as extended XYZ:
```
6
Lattice="0.0000 3.7010 3.7010 3.7010 0.0000 3.7010 3.7010 3.7010 0.0000" Properties=species:S:1:pos:R:3 pbc="T T T"
Ca 0.0000 0.0000 0.0000
Zr 1.8505 1.8505 1.8505
Ir 4.6269 2.7751 2.7751
Ir 2.7751 4.6269 2.7751
Ir 2.7751 2.7751 4.6269
Ir 4.6269 4.6269 4.6269
```

* DFT total energy: -54.863 eV per atom
* formation energy from the elements: -0.737 eV per atom

---

- The highest formation energy from the elements belongs to which entry?
  number 1

---

- Which value of formation energy from the elements does entry 12 give?
  0.282 eV per atom